# 1
Entry from Alexandria: a geometry-optimized Sr3NdSm2Te6 structure (GGA-PBE).

Cell: 20.1437 4.5423 9.2593 Å, 90.00 104.97 90.00°
With the nearest neighbours (Å) after each atom.
Space group C2/m (No. 12)
Inequivalent atoms, fractional coordinates:
Sr1 0.0000 0.0000 0.0000  6 Te 3.28-3.32
Sr2 0.1659 0.5000 0.3325  6 Te 3.29-3.31
Nd1 0.0000 0.0000 0.5000  6 Te 3.21-3.22
Sm1 0.1653 0.5000 0.8303  6 Te 3.16-3.20
Te1 0.0027 0.5000 0.7464  1 Sm 3.16, 2 Nd 3.21, 3 Sr 3.28-3.29
Te2 0.1653 0.0000 0.5903  2 Sm 3.18, 1 Nd 3.22, 3 Sr 3.29-3.30
Te3 0.1702 0.0000 0.0750  3 Sm 3.19-3.20, 3 Sr 3.31-3.32

Properties
Raw formation energy (eV/atom): -1.543
Total DFT energy (no corrections) (eV per atom): -4.718
Magnetic moment (μB/cell): 0.000

# 2
Entry from Alexandria: a geometry-optimized TbNd3Sm3 structure (GGA-PBE).

Cell: 10.1201 10.1201 8.2953 Å, 90.00 90.00 120.00°
With the nearest neighbours (Å) after each atom.
Space group R3m (No. 160, hexagonal axes)
Inequivalent atoms, fractional coordinates:
Tb1 0.0000 0.0000 0.0000  3 Sm 3.21, 6 Nd 3.30-3.51
Nd1 0.0634 0.5317 0.3889  2 Tb 3.30-3.51, 5 Sm 3.38-3.62
Sm1 0.0945 0.5473 0.9599  1 Tb 3.21, 3 Nd 3.38-3.57

Properties
Energy above the most stable polymorph in this dataset (meV per atom): 2.3
Total DFT energy (no corrections) (eV per atom): -4.500
Energy of formation from the pure elements (eV/f.u.): 1.59
Magnetic moment (μB/cell): 0.000

# 3
Entry from Alexandria: a geometry-optimized TbNd5Sm4 structure (GGA-PBE).

Cell: 10.6026 10.6026 6.2257 Å, 90.00 90.00 90.00°
With the nearest neighbours (Å) after each atom.
Space group I4 (No. 79)
Inequivalent atoms, fractional coordinates:
Tb1 0.0000 0.0000 0.0000  1 Nd 2.89
Nd1 0.0000 0.0000 0.4641  1 Tb 2.89
Nd2 0.1895 0.1887 0.7376  1 Tb 3.27, 2 Sm 3.30, 3 Nd 3.31-3.61
Sm1 0.9996 0.3251 0.2132  2 Nd 3.30, 1 Tb 3.69

Properties
Energy above the most stable polymorph in this dataset (meV per atom): 224.9
Total DFT energy (no corrections) (eV per atom): -4.496
Energy of formation from the pure elements (eV/f.u.): 2.38
Magnetic moment (μB/cell): 0.000

# 4
Entry from Alexandria: a geometry-optimized TbNd7Sm4 structure (GGA-PBE).

Cell: 16.3819 6.0746 9.4399 Å, 90.00 115.99 90.00°
With the nearest neighbours (Å) after each atom.
Space group C2/m (No. 12)
Inequivalent atoms, fractional coordinates:
Tb1 0.0000 0.0000 0.0000  4 Nd 3.04-3.13
Nd1 0.0000 0.5000 0.0000  2 Tb 3.04
Nd2 0.0819 0.0000 0.4391  3 Nd 3.35-3.73, 3 Sm 3.50-3.61
Nd3 0.2080 0.0000 0.2260  1 Tb 3.13, 2 Sm 3.28-3.33, 2 Nd 3.31-3.46
Nd4 0.2096 0.0000 0.8769  5 Nd 3.31-3.70
Sm1 0.0733 0.5000 0.6988  4 Nd 3.33-3.71, 1 Sm 3.46
Sm2 0.1729 0.5000 0.3892  7 Nd 3.28-3.61

Properties
Energy above the most stable polymorph in this dataset (meV per atom): 196.9
Total DFT energy (no corrections) (eV per atom): -4.531
Energy of formation from the pure elements (eV/f.u.): 2.51
Magnetic moment (μB/cell): 1.076

# 5
Entry from Alexandria: a geometry-optimized TbNd7Sm2 structure (GGA-PBE).

Cell: 12.1244 16.9678 3.5470 Å, 90.00 90.00 90.00°
With the nearest neighbours (Å) after each atom.
Space group Cmmm (No. 65)
Inequivalent atoms, fractional coordinates:
Tb1 0.0000 0.0000 0.0000  4 Sm 3.37, 2 Tb 3.55
Nd1 0.0000 0.3231 0.0000  2 Sm 3.16, 2 Nd 3.49
Nd2 0.0000 0.5000 0.5000  10 Nd 3.49-3.67
Nd3 0.2449 0.3725 0.5000  1 Sm 3.17, 2 Nd 3.55
Sm1 0.0000 0.1687 0.5000  4 Nd 3.16-3.17, 2 Tb 3.37

Properties
Energy above the most stable polymorph in this dataset (meV per atom): 0.0
Total DFT energy (no corrections) (eV per atom): -4.374
Energy of formation from the pure elements (eV/f.u.): 3.71
Magnetic moment (μB/cell): 0.000

# 6
Entry from Alexandria: a geometry-optimized Tb8NdSm2 structure (GGA-PBE).

Cell: 19.0925 7.0320 5.5902 Å, 90.00 92.97 90.00°
With the nearest neighbours (Å) after each atom.
Space group C2/m (No. 12)
Inequivalent atoms, fractional coordinates:
Tb1 0.0458 0.0000 0.2377  1 Tb 3.10, 1 Sm 3.24
Tb2 0.1313 0.2332 0.7329  4 Tb 3.28-3.58, 3 Sm 3.47-3.64, 1 Nd 3.53
Tb3 0.1873 0.5000 0.2330  4 Sm 3.34-3.56, 4 Tb 3.49-3.58
Nd1 0.0000 0.5000 0.0000  10 Tb 3.53-3.84
Sm1 0.2157 0.0000 0.2528  9 Tb 3.24-3.60

Properties
Energy above the most stable polymorph in this dataset (meV per atom): 43.3
Total DFT energy (no corrections) (eV per atom): -4.504
Energy of formation from the pure elements (eV/f.u.): 1.70
Magnetic moment (μB/cell): 0.000

# 7
Entry from Alexandria: a geometry-optimized Tb5Nd4Sm2 structure (GGA-PBE).

Cell: 19.3700 5.7237 6.6882 Å, 90.00 90.98 90.00°
With the nearest neighbours (Å) after each atom.
Space group C2/m (No. 12)
Inequivalent atoms, fractional coordinates:
Tb1 0.0000 0.0000 0.0000  6 Nd 3.46-3.81, 2 Sm 3.57
Tb2 0.1307 0.5000 0.8945  5 Nd 3.14-3.41
Tb3 0.2090 0.5000 0.4010  4 Tb 3.52-3.69, 5 Nd 3.60-3.92, 3 Sm 3.74-3.76
Nd1 0.0203 0.5000 0.2853  1 Nd 2.99, 1 Tb 3.14
Nd2 0.1954 0.0000 0.0767  6 Tb 3.35-3.72, 2 Nd 3.71, 1 Sm 3.73
Sm1 0.0974 0.0000 0.5522  6 Tb 3.57-3.76, 6 Nd 3.68-3.96, 1 Sm 3.83

Properties
Energy above the most stable polymorph in this dataset (meV per atom): 0.0
Total DFT energy (no corrections) (eV per atom): -4.592
Energy of formation from the pure elements (eV/f.u.): 1.15
Magnetic moment (μB/cell): 0.000

# 8
Entry from Alexandria: a geometry-optimized Tb5Nd3Sm4 structure (GGA-PBE).

Cell: 6.2560 7.2247 8.8490 Å, 90.04 90.09 90.14°
With the nearest neighbours (Å) after each atom.
Space group P-1 (No. 2)
Inequivalent atoms, fractional coordinates:
Tb1 0.0000 0.0000 0.0000  4 Sm 3.59-3.61, 4 Tb 3.61, 4 Nd 3.61
Tb2 0.3346 0.4997 0.3320  4 Nd 3.60-3.63, 5 Sm 3.60-3.63, 3 Tb 3.60-3.62
Tb3 0.4994 0.7500 0.9998  3 Sm 3.60, 6 Tb 3.60-3.61, 3 Nd 3.60-3.62
Nd1 0.0000 0.5000 0.0000  8 Tb 3.60-3.62, 2 Nd 3.61, 2 Sm 3.61
Nd2 0.1673 0.2503 0.6671  5 Tb 3.60-3.63, 6 Sm 3.61-3.63, 1 Nd 3.61
Sm1 0.1680 0.7501 0.6673  5 Tb 3.60-3.63, 3 Sm 3.60-3.63, 4 Nd 3.61-3.62
Sm2 0.3326 0.0000 0.3316  5 Tb 3.59-3.62, 4 Sm 3.60-3.64, 3 Nd 3.61-3.63

Properties
Energy above the most stable polymorph in this dataset (meV per atom): 0.0
Total DFT energy (no corrections) (eV per atom): -4.681
Energy of formation from the pure elements (eV/f.u.): 0.16
Magnetic moment (μB/cell): 0.000

# 9
Entry from Alexandria: a geometry-optimized Tb4Nd3Sm5 structure (GGA-PBE).

Cell: 16.2367 6.0051 9.3623 Å, 90.00 116.07 90.00°
With the nearest neighbours (Å) after each atom.
Space group C2/m (No. 12)
Inequivalent atoms, fractional coordinates:
Tb1 0.0819 0.0000 0.4418  2 Tb 3.29-3.67, 1 Nd 3.44, 3 Sm 3.48-3.58
Tb2 0.2113 0.0000 0.8770  3 Nd 3.31-3.58, 3 Tb 3.65-3.67, 2 Sm 3.67
Nd1 0.0000 0.5000 0.0000  2 Sm 3.00
Nd2 0.2080 0.0000 0.2279  3 Sm 3.10-3.28, 2 Tb 3.31-3.44
Sm1 0.0000 0.0000 0.0000  4 Nd 3.00-3.10
Sm2 0.0749 0.5000 0.6983  2 Nd 3.28-3.53, 1 Sm 3.43, 2 Tb 3.67
Sm3 0.1730 0.5000 0.3879  4 Nd 3.25-3.51, 3 Tb 3.48-3.58

Properties
Energy above the most stable polymorph in this dataset (meV per atom): 203.4
Total DFT energy (no corrections) (eV per atom): -4.485
Energy of formation from the pure elements (eV/f.u.): 2.60
Magnetic moment (μB/cell): 0.007

# 10
Entry from Alexandria: a geometry-optimized Tb2Nd4Sm structure (GGA-PBE).

Cell: 6.2108 6.6992 11.8332 Å, 90.00 104.79 90.00°
With the nearest neighbours (Å) after each atom.
Space group P2_1/m (No. 11)
Inequivalent atoms, fractional coordinates:
Tb1 0.0990 0.2500 0.4969  6 Nd 3.44-3.73, 2 Sm 3.48-3.74, 2 Tb 3.58
Tb2 0.2111 0.2500 0.0696  9 Nd 3.41-3.66
Nd1 0.1463 0.0057 0.7859  5 Nd 3.27-3.61, 1 Sm 3.47, 2 Tb 3.57-3.66
Nd2 0.3497 0.7500 0.0538  4 Tb 3.41-3.48, 1 Sm 3.42, 4 Nd 3.54-3.61
Nd3 0.4802 0.7500 0.6437  3 Tb 3.44-3.56, 2 Nd 3.44, 3 Sm 3.44-3.51
Sm1 0.3475 0.7500 0.3428  6 Nd 3.42-3.51, 2 Tb 3.48-3.74

Properties
Energy above the most stable polymorph in this dataset (meV per atom): 59.3
Total DFT energy (no corrections) (eV per atom): -4.602
Energy of formation from the pure elements (eV/f.u.): 0.83
Magnetic moment (μB/cell): 0.000

# 11
Entry from Alexandria: a geometry-optimized TbNd6Sm4 structure (GGA-PBE).

Cell: 6.6750 6.6750 17.5361 Å, 90.00 90.00 90.00°
With the nearest neighbours (Å) after each atom.
Space group I-42m (No. 121)
Inequivalent atoms, fractional coordinates:
Tb1 0.0000 0.0000 0.0000  4 Nd 3.34, 4 Sm 3.57
Nd1 0.0000 0.5000 0.0000  2 Tb 3.34, 4 Nd 3.36
Nd2 0.1785 0.1785 0.3693  3 Nd 3.36-3.37, 5 Sm 3.38-3.61
Sm1 0.1881 0.1881 0.1768  5 Nd 3.38-3.61, 1 Sm 3.55, 1 Tb 3.57

Properties
Energy above the most stable polymorph in this dataset (meV per atom): 0.0
Total DFT energy (no corrections) (eV per atom): -4.456
Energy of formation from the pure elements (eV/f.u.): 3.09
Magnetic moment (μB/cell): 0.000

# 12
Entry from Alexandria: a geometry-optimized TbNd6Sm8 structure (GGA-PBE).

Cell: 9.5527 9.5527 6.6501 Å, 90.00 90.00 120.00°
With the nearest neighbours (Å) after each atom.
Space group P-3 (No. 147)
Inequivalent atoms, fractional coordinates:
Tb1 0.0000 0.0000 0.0000  6 Sm 3.38
Nd1 0.0849 0.4344 0.8362  1 Nd 3.31, 4 Sm 3.34-3.60
Sm1 0.0296 0.2795 0.3347  4 Nd 3.34-3.60, 3 Sm 3.36-3.39, 1 Tb 3.38
Sm2 0.3333 0.6667 0.3855  3 Sm 3.39, 3 Nd 3.78

Properties
Energy above the most stable polymorph in this dataset (meV per atom): 52.0
Total DFT energy (no corrections) (eV per atom): -4.567
Energy of formation from the pure elements (eV/f.u.): 2.49
Magnetic moment (μB/cell): 0.000

Question: Which of these has the highest total DFT energy (no corrections)?
Answer: TbNd7Sm2

Question: Which of these has the highest total DFT energy (no corrections)?
Answer: TbNd7Sm2

Question: What is the formula in the sixth record?
Answer: Tb8NdSm2